{
  "formula": "Bi10PtS10",
  "functional": "GGA-PBE",
  "state": "optimized geometry",
  "lattice_angstrom": [[11.477, 0.000, 0.000], [0.000, 12.738, 0.000], [0.000, 0.000, 8.197]],
  "species": ["Bi", "Bi", "Bi", "Bi", "Bi", "Bi", "Bi", "Bi", "Bi", "Bi", "Bi", "Bi", "Bi", "Bi", "Bi", "Bi", "Bi", "Bi", "Bi", "Bi", "Pt", "Pt", "S", "S", "S", "S", "S", "S", "S", "S", "S", "S", "S", "S", "S", "S", "S", "S", "S", "S", "S", "S"],
  "fractional_positions": [[0.000, 0.000, 0.247], [0.000, 0.000, 0.753], [0.135, 0.398, 0.266], [0.135, 0.398, 0.734], [0.166, 0.673, 0.500], [0.212, 0.569, 0.000], [0.288, 0.069, 0.000], [0.334, 0.173, 0.500], [0.365, 0.898, 0.266], [0.365, 0.898, 0.734], [0.500, 0.500, 0.247], [0.500, 0.500, 0.753], [0.635, 0.102, 0.266], [0.635, 0.102, 0.734], [0.666, 0.827, 0.500], [0.712, 0.931, 0.000], [0.788, 0.431, 0.000], [0.834, 0.327, 0.500], [0.865, 0.602, 0.266], [0.865, 0.602, 0.734], [0.000, 0.500, 0.500], [0.500, 0.000, 0.500], [0.003, 0.347, 0.000], [0.114, 0.905, 0.000], [0.158, 0.894, 0.500], [0.172, 0.171, 0.266], [0.172, 0.171, 0.734], [0.328, 0.671, 0.266], [0.328, 0.671, 0.734], [0.342, 0.394, 0.500], [0.386, 0.405, 0.000], [0.497, 0.847, 0.000], [0.503, 0.153, 0.000], [0.614, 0.595, 0.000], [0.658, 0.606, 0.500], [0.672, 0.329, 0.266], [0.672, 0.329, 0.734], [0.828, 0.829, 0.266], [0.828, 0.829, 0.734], [0.842, 0.106, 0.500], [0.886, 0.095, 0.000], [0.997, 0.653, 0.000]],
  "crystal_system": "orthorhombic",
  "e_tot_ev_per_cell": -181.59,
  "sg": "Pbam (55)"
}

***

{
  "formula": "AgPbSeO",
  "functional": "GGA-PBE",
  "state": "optimized geometry",
  "lattice_angstrom": [[6.456, 0.000, 0.000], [0.000, 3.959, 0.000], [0.000, 0.000, 13.944]],
  "species": ["Ag", "Ag", "Ag", "Ag", "Pb", "Pb", "Pb", "Pb", "Se", "Se", "Se", "Se", "O", "O", "O", "O"],
  "fractional_positions": [[0.175, 0.250, 0.094], [0.325, 0.750, 0.594], [0.675, 0.250, 0.406], [0.825, 0.750, 0.906], [0.103, 0.750, 0.333], [0.397, 0.250, 0.833], [0.603, 0.750, 0.167], [0.897, 0.250, 0.667], [0.226, 0.750, 0.957], [0.274, 0.250, 0.457], [0.726, 0.750, 0.543], [0.774, 0.250, 0.043], [0.245, 0.250, 0.689], [0.255, 0.750, 0.189], [0.745, 0.250, 0.811], [0.755, 0.750, 0.311]],
  "crystal_system": "orthorhombic",
  "e_tot_ev_per_cell": -65.36,
  "sg": "Pnma (62)"
}

***

{
  "formula": "Lu2Nb4Zn3C3",
  "functional": "GGA-PBE",
  "state": "optimized geometry",
  "lattice_angstrom": [[4.839, -2.796, 0.000], [4.839, 2.796, 0.000], [-3.326, 0.000, 13.940]],
  "species": ["Lu", "Lu", "Lu", "Lu", "Nb", "Nb", "Nb", "Nb", "Nb", "Nb", "Nb", "Nb", "Zn", "Zn", "Zn", "Zn", "Zn", "Zn", "C", "C", "C", "C", "C", "C"],
  "fractional_positions": [[0.039, 0.878, 0.612], [0.122, 0.961, 0.888], [0.878, 0.039, 0.112], [0.961, 0.122, 0.388], [0.193, 0.353, 0.081], [0.297, 0.482, 0.419], [0.353, 0.193, 0.581], [0.482, 0.297, 0.919], [0.518, 0.703, 0.081], [0.647, 0.807, 0.419], [0.703, 0.518, 0.581], [0.807, 0.647, 0.919], [0.087, 0.399, 0.752], [0.399, 0.087, 0.252], [0.429, 0.571, 0.250], [0.571, 0.429, 0.750], [0.601, 0.913, 0.748], [0.913, 0.601, 0.248], [0.000, 0.500, 0.500], [0.170, 0.660, 0.000], [0.340, 0.830, 0.500], [0.500, 0.000, 0.000], [0.660, 0.170, 0.500], [0.830, 0.340, 0.000]],
  "crystal_system": "monoclinic",
  "e_tot_ev_per_cell": -172.90,
  "sg": "C2/c (15)"
}

***

{
  "formula": "MgRe3C",
  "functional": "GGA-PBE",
  "state": "optimized geometry",
  "lattice_angstrom": [[4.113, 0.000, 0.000], [0.000, 4.113, 0.000], [0.000, 0.000, 4.113]],
  "species": ["Mg", "Re", "Re", "Re", "C"],
  "fractional_positions": [[0.000, 0.000, 0.000], [0.000, 0.500, 0.500], [0.500, 0.000, 0.500], [0.500, 0.500, 0.000], [0.500, 0.500, 0.500]],
  "crystal_system": "cubic",
  "e_tot_ev_per_cell": -46.19,
  "sg": "Pm-3m (221)"
}

***

{
  "formula": "PaPPbO",
  "functional": "GGA-PBE",
  "state": "optimized geometry",
  "lattice_angstrom": [[4.091, 0.000, 0.000], [0.000, 4.091, 0.000], [0.000, 0.000, 10.102]],
  "species": ["Pa", "Pa", "P", "P", "Pb", "Pb", "O", "O"],
  "fractional_positions": [[0.250, 0.250, 0.128], [0.750, 0.750, 0.872], [0.250, 0.250, 0.750], [0.750, 0.750, 0.250], [0.250, 0.750, 0.500], [0.750, 0.250, 0.500], [0.250, 0.750, 0.000], [0.750, 0.250, 0.000]],
  "crystal_system": "tetragonal",
  "e_tot_ev_per_cell": -54.30,
  "sg": "P4/nmm (129)"
}

***

{
  "formula": "U3Al2Si3",
  "functional": "GGA-PBE",
  "state": "optimized geometry",
  "lattice_angstrom": [[-3.785, 3.785, 5.456], [3.785, -3.785, 5.456], [3.785, 3.785, -5.456]],
  "species": ["U", "U", "U", "U", "U", "U", "Al", "Al", "Al", "Al", "Si", "Si", "Si", "Si", "Si", "Si"],
  "fractional_positions": [[0.000, 0.000, 0.000], [0.135, 0.635, 0.191], [0.443, 0.943, 0.809], [0.500, 0.500, 0.000], [0.635, 0.443, 0.500], [0.943, 0.135, 0.500], [0.236, 0.453, 0.500], [0.453, 0.953, 0.217], [0.736, 0.236, 0.783], [0.953, 0.736, 0.500], [0.120, 0.620, 0.797], [0.248, 0.248, 0.000], [0.324, 0.120, 0.500], [0.620, 0.824, 0.500], [0.748, 0.748, 0.000], [0.824, 0.324, 0.203]],
  "crystal_system": "tetragonal",
  "e_tot_ev_per_cell": -118.78,
  "sg": "I4cm (108)"
}

***

{
  "formula": "Zr2AlBiPd2",
  "functional": "GGA-PBE",
  "state": "optimized geometry",
  "lattice_angstrom": [[-3.177, 3.177, 6.348], [3.177, -3.177, 6.348], [3.177, 3.177, -6.348]],
  "species": ["Zr", "Zr", "Zr", "Zr", "Al", "Al", "Bi", "Bi", "Pd", "Pd", "Pd", "Pd"],
  "fractional_positions": [[0.246, 0.246, 0.000], [0.504, 0.004, 0.500], [0.754, 0.754, 0.000], [0.996, 0.496, 0.500], [0.000, 0.000, 0.000], [0.750, 0.250, 0.500], [0.250, 0.750, 0.500], [0.500, 0.500, 0.000], [0.108, 0.625, 0.983], [0.375, 0.358, 0.483], [0.642, 0.125, 0.017], [0.875, 0.892, 0.517]],
  "crystal_system": "tetragonal",
  "e_tot_ev_per_cell": -78.11,
  "sg": "I-42d (122)"
}

***

{
  "formula": "Tb2SmIn3Cu3",
  "functional": "GGA-PBE",
  "state": "optimized geometry",
  "lattice_angstrom": [[3.885, 0.000, 0.000], [0.000, 6.565, 3.793], [0.000, -6.565, 3.793]],
  "species": ["Tb", "Tb", "Sm", "In", "In", "In", "Cu", "Cu", "Cu"],
  "fractional_positions": [[0.000, 0.205, 0.795], [0.000, 0.795, 0.205], [0.000, 0.383, 0.383], [0.500, 0.046, 0.046], [0.500, 0.542, 0.797], [0.500, 0.797, 0.542], [0.000, 0.795, 0.795], [0.500, 0.126, 0.462], [0.500, 0.462, 0.126]],
  "crystal_system": "orthorhombic",
  "e_tot_ev_per_cell": -37.05,
  "sg": "Amm2 (38)"
}

***

{
  "formula": "Ga2HgTe2Se2",
  "functional": "GGA-PBE",
  "state": "optimized geometry",
  "lattice_angstrom": [[4.216, -5.725, 0.000], [4.216, 5.725, 0.000], [-4.114, 0.000, 4.402]],
  "species": ["Ga", "Ga", "Hg", "Te", "Te", "Se", "Se"],
  "fractional_positions": [[0.000, 0.000, 0.000], [0.765, 0.235, 0.500], [0.507, 0.493, 0.000], [0.361, 0.068, 0.469], [0.932, 0.639, 0.531], [0.096, 0.360, 0.993], [0.640, 0.904, 0.007]],
  "crystal_system": "monoclinic",
  "e_tot_ev_per_cell": -22.40,
  "sg": "C2 (5)"
}

***

{
  "formula": "Fe2HgBi",
  "functional": "GGA-PBE",
  "state": "optimized geometry",
  "lattice_angstrom": [[0.000, 3.372, 3.372], [3.372, 0.000, 3.372], [3.372, 3.372, 0.000]],
  "species": ["Fe", "Fe", "Hg", "Bi"],
  "fractional_positions": [[0.000, 0.000, 0.000], [0.250, 0.250, 0.250], [0.750, 0.750, 0.750], [0.500, 0.500, 0.500]],
  "crystal_system": "cubic",
  "e_tot_ev_per_cell": -17.95,
  "sg": "F-43m (216)"
}

***

{
  "formula": "TbYMo2C3",
  "functional": "GGA-PBE",
  "state": "optimized geometry",
  "lattice_angstrom": [[5.658, -1.703, 0.000], [5.658, 1.703, 0.000], [-1.723, 0.000, 5.456]],
  "species": ["Tb", "Y", "Mo", "Mo", "C", "C", "C"],
  "fractional_positions": [[0.000, 0.000, 0.000], [0.226, 0.226, 0.644], [0.463, 0.463, 0.446], [0.764, 0.764, 0.198], [0.341, 0.341, 0.081], [0.613, 0.613, 0.322], [0.885, 0.885, 0.562]],
  "crystal_system": "monoclinic",
  "e_tot_ev_per_cell": -62.67,
  "sg": "Cm (8)"
}

***

{
  "formula": "Sc2AlGaPd4",
  "functional": "GGA-PBE",
  "state": "optimized geometry",
  "lattice_angstrom": [[4.521, 0.000, 0.000], [0.000, 4.521, 0.000], [0.000, 0.000, 6.397]],
  "species": ["Sc", "Sc", "Al", "Ga", "Pd", "Pd", "Pd", "Pd"],
  "fractional_positions": [[0.000, 0.000, 0.000], [0.500, 0.500, 0.500], [0.000, 0.000, 0.500], [0.500, 0.500, 0.000], [0.000, 0.500, 0.253], [0.000, 0.500, 0.747], [0.500, 0.000, 0.253], [0.500, 0.000, 0.747]],
  "crystal_system": "tetragonal",
  "e_tot_ev_per_cell": -47.44,
  "sg": "P4/mmm (123)"
}